{
  "formula": "La2PI",
  "functional": "GGA-PBE",
  "state": "optimized geometry",
  "lattice": [[2.127, 1.228, 7.974], [-2.127, 1.228, 7.974], [0.000, -2.456, 7.974]],
  "species": ["La", "La", "P", "I"],
  "frac_coords": [[0.000, 0.000, 0.000], [0.203, 0.203, 0.203], [0.603, 0.603, 0.603], [0.434, 0.434, 0.434]],
  "energy_ev_per_cell": -22.61,
  "dos_at_fermi_per_ev_fu": 1.6,
  "spacegroup": "R3m",
  "formation_energy_uncorrected_ev_per_atom": -1.4496
}

{
  "formula": "TmBeCo2H6",
  "functional": "GGA-PBE",
  "state": "optimized geometry",
  "lattice": [[2.044, 1.180, 4.860], [-2.044, 1.180, 4.860], [0.000, -2.360, 4.860]],
  "species": ["Tm", "Be", "Co", "Co", "H", "H", "H", "H", "H", "H"],
  "frac_coords": [[0.000, 0.000, 0.000], [0.500, 0.500, 0.500], [0.203, 0.203, 0.203], [0.797, 0.797, 0.797], [0.087, 0.562, 0.562], [0.438, 0.438, 0.913], [0.438, 0.913, 0.438], [0.562, 0.087, 0.562], [0.562, 0.562, 0.087], [0.913, 0.438, 0.438]],
  "energy_ev_per_cell": -44.79,
  "dos_at_fermi_per_ev_fu": 3.3,
  "spacegroup": "R-3m"
}

{
  "formula": "TbSmS2",
  "functional": "GGA-PBE",
  "state": "optimized geometry",
  "lattice": [[3.430, -1.988, 0.000], [3.430, 1.988, 0.000], [-2.305, 0.000, 6.480]],
  "species": ["Tb", "Sm", "S", "S"],
  "frac_coords": [[0.000, 0.000, 0.000], [0.500, 0.500, 0.500], [0.253, 0.253, 0.758], [0.747, 0.747, 0.242]],
  "relative_energy_mev_per_atom": 0,
  "energy_ev_per_cell": -25.68,
  "dos_at_fermi_per_ev_fu": 1.6,
  "spacegroup": "C2/m",
  "formation_energy_uncorrected_ev_per_atom": -2.0197
}

{
  "formula": "K2AgW",
  "functional": "GGA-PBE",
  "state": "optimized geometry",
  "lattice": [[0.000, 3.921, 3.921], [3.921, 0.000, 3.921], [3.921, 3.921, 0.000]],
  "species": ["K", "K", "Ag", "W"],
  "frac_coords": [[0.000, 0.000, 0.000], [0.250, 0.250, 0.250], [0.500, 0.500, 0.500], [0.750, 0.750, 0.750]],
  "relative_energy_mev_per_atom": 425,
  "energy_ev_per_cell": -12.21,
  "dos_at_fermi_per_ev_fu": 1.4,
  "spacegroup": "F-43m",
  "ef_ev_per_fu": 5.8
}

{
  "formula": "Ce2CuNi2Pt5",
  "functional": "GGA-PBE",
  "state": "optimized geometry",
  "lattice": [[9.132, 0.000, 0.000], [0.000, 9.132, 0.000], [0.000, 0.000, 4.028]],
  "species": ["Ce", "Ce", "Ce", "Ce", "Cu", "Cu", "Ni", "Ni", "Ni", "Ni", "Pt", "Pt", "Pt", "Pt", "Pt", "Pt", "Pt", "Pt", "Pt", "Pt"],
  "frac_coords": [[0.177, 0.323, 0.000], [0.323, 0.823, 0.000], [0.677, 0.177, 0.000], [0.823, 0.677, 0.000], [0.000, 0.000, 0.000], [0.500, 0.500, 0.000], [0.123, 0.623, 0.000], [0.377, 0.123, 0.000], [0.623, 0.877, 0.000], [0.877, 0.377, 0.000], [0.000, 0.500, 0.500], [0.068, 0.796, 0.500], [0.204, 0.068, 0.500], [0.296, 0.568, 0.500], [0.432, 0.296, 0.500], [0.500, 0.000, 0.500], [0.568, 0.704, 0.500], [0.704, 0.432, 0.500], [0.796, 0.932, 0.500], [0.932, 0.204, 0.500]],
  "energy_ev_per_cell": -130.26,
  "dos_at_fermi_per_ev_fu": 9.3,
  "spacegroup": "P4/mbm",
  "ef_ev_per_fu": -7.4
}

{
  "formula": "Ir2RhCl",
  "functional": "GGA-PBE",
  "state": "optimized geometry",
  "lattice": [[-1.373, 2.039, 5.818], [1.373, -2.039, 5.818], [1.373, 2.039, -5.818]],
  "species": ["Ir", "Ir", "Rh", "Cl"],
  "frac_coords": [[0.211, 0.211, 0.000], [0.789, 0.789, 0.000], [0.000, 0.500, 0.500], [0.500, 0.000, 0.500]],
  "relative_energy_mev_per_atom": 176,
  "energy_ev_per_cell": -24.74,
  "dos_at_fermi_per_ev_fu": 5.0,
  "spacegroup": "Immm",
  "formation_energy_uncorrected_ev_per_atom": 0.5457
}